(1)
The following is a PBE calculation of a relaxed structure of Pr12Zn6Pt, from the Alexandria database.

## Properties
The density of states at the Fermi level is 27.09 states/eV per cell. The calculation puts the total DFT energy (no corrections) at -3.7961 eV per atom. The magnetization is 0.000 μB per formula unit.

Unit cell a=8.675 b=8.675 c=8.675 alpha=99.64 beta=99.64 gamma=99.64
Fractional positions:
1 Pr 0.028 0.933 0.674
2 Pr 0.067 0.326 0.972
3 Pr 0.188 0.560 0.423
4 Pr 0.326 0.972 0.067
5 Pr 0.423 0.188 0.560
6 Pr 0.440 0.577 0.812
7 Pr 0.560 0.423 0.188
8 Pr 0.577 0.812 0.440
9 Pr 0.674 0.028 0.933
10 Pr 0.812 0.440 0.577
11 Pr 0.933 0.674 0.028
12 Pr 0.972 0.067 0.326
13 Zn 0.133 0.308 0.637
14 Zn 0.308 0.637 0.133
15 Zn 0.363 0.867 0.692
16 Zn 0.637 0.133 0.308
17 Zn 0.692 0.363 0.867
18 Zn 0.867 0.692 0.363
19 Pt 0.000 0.000 0.000

(2)
The following is a PBE calculation of a relaxed structure of Pr3Zn2Pt3, from the Alexandria database.

## Properties
The density of states at the Fermi level is 9.93 states/eV per cell. The magnetization is 0.000 μB per formula unit. As for the excess energy over the best structure of this formula in the dataset: 114 meV per atom.

Unit cell a=8.566 b=8.566 c=5.827 alpha=90.00 beta=90.00 gamma=120.00
Fractional positions:
1 Pr 0.000 0.281 0.250
2 Pr 0.000 0.719 0.750
3 Pr 0.281 0.000 0.250
4 Pr 0.281 0.281 0.750
5 Pr 0.719 0.000 0.750
6 Pr 0.719 0.719 0.250
7 Zn 0.333 0.667 0.000
8 Zn 0.333 0.667 0.500
9 Zn 0.667 0.333 0.000
10 Zn 0.667 0.333 0.500
11 Pt 0.000 0.387 0.750
12 Pt 0.000 0.613 0.250
13 Pt 0.387 0.000 0.750
14 Pt 0.387 0.387 0.250
15 Pt 0.613 0.000 0.250
16 Pt 0.613 0.613 0.750

(3)
The following is a PBE calculation of a relaxed structure of PrZnPt6, from the Alexandria database.

## Properties
The density of states at the Fermi level is 9.11 states/eV per cell. The calculation puts the total DFT energy (no corrections) at -5.6825 eV per atom. The magnetization is 0.000 μB per formula unit.

Unit cell a=3.975 b=3.975 c=9.557 alpha=90.00 beta=90.00 gamma=90.00
Fractional positions:
1 Pr 0.000 0.000 0.000
2 Zn 0.000 0.000 0.500
3 Pt 0.000 0.500 0.327
4 Pt 0.000 0.500 0.673
5 Pt 0.500 0.000 0.327
6 Pt 0.500 0.000 0.673
7 Pt 0.500 0.500 0.133
8 Pt 0.500 0.500 0.867

(4)
The following is a PBE calculation of a relaxed structure of PrZn3Pt3, from the Alexandria database.

## Properties
The density of states at the Fermi level is 4.51 states/eV per cell. The magnetization is 0.000 μB per formula unit. As for the excess energy over the best structure of this formula in the dataset: 0 meV per atom.

Unit cell a=8.294 b=8.294 c=4.303 alpha=90.00 beta=90.00 gamma=120.00
Fractional positions:
1 Pr 0.333 0.667 0.250
2 Pr 0.667 0.333 0.750
3 Zn 0.005 0.222 0.250
4 Zn 0.217 0.995 0.250
5 Zn 0.222 0.217 0.750
6 Zn 0.778 0.783 0.250
7 Zn 0.783 0.005 0.750
8 Zn 0.995 0.778 0.750
9 Pt 0.047 0.411 0.750
10 Pt 0.364 0.953 0.750
11 Pt 0.411 0.364 0.250
12 Pt 0.589 0.636 0.750
13 Pt 0.636 0.047 0.250
14 Pt 0.953 0.589 0.250

(5)
The following is a PBE calculation of a relaxed structure of Pr3ZnPt, from the Alexandria database.

## Properties
The density of states at the Fermi level is 9.92 states/eV per cell. The magnetization is 0.000 μB per formula unit. As for the excess energy over the best structure of this formula in the dataset: 22 meV per atom.

Unit cell a=5.977 b=6.196 c=8.262 alpha=96.42 beta=93.44 gamma=110.89
Fractional positions:
1 Pr 0.000 0.000 0.000
2 Pr 0.033 0.748 0.373
3 Pr 0.278 0.626 0.809
4 Pr 0.386 0.360 0.391
5 Pr 0.642 0.350 0.994
6 Pr 0.742 0.075 0.599
7 Zn 0.510 0.828 0.188
8 Zn 0.771 0.610 0.694
9 Pt 0.260 0.098 0.694
10 Pt 0.862 0.243 0.288

(6)
The following is a PBE calculation of a relaxed structure of Pr2Zn5Pt5, from the Alexandria database.

## Properties
The density of states at the Fermi level is 7.69 states/eV per cell. The magnetization is 0.000 μB per formula unit. As for the excess energy over the best structure of this formula in the dataset: 15 meV per atom.

Unit cell a=4.141 b=5.600 c=9.384 alpha=90.00 beta=90.00 gamma=90.00
Fractional positions:
1 Pr 0.000 0.000 0.000
2 Pr 0.000 0.500 0.500
3 Zn 0.000 0.000 0.332
4 Zn 0.000 0.000 0.668
5 Zn 0.000 0.500 0.162
6 Zn 0.000 0.500 0.838
7 Zn 0.500 0.500 0.000
8 Pt 0.500 0.000 0.500
9 Pt 0.500 0.250 0.243
10 Pt 0.500 0.250 0.757
11 Pt 0.500 0.750 0.243
12 Pt 0.500 0.750 0.757

(7)
The following is a PBE calculation of a relaxed structure of PrZn3Pt, from the Alexandria database.

## Properties
The density of states at the Fermi level is 7.70 states/eV per cell. The magnetization is 0.000 μB per formula unit. As for the excess energy over the best structure of this formula in the dataset: 0 meV per atom.

Unit cell a=6.471 b=6.471 c=5.723 alpha=90.00 beta=90.00 gamma=125.33
Fractional positions:
1 Pr 0.248 0.752 0.750
2 Pr 0.752 0.248 0.250
3 Zn 0.132 0.868 0.250
4 Zn 0.259 0.259 0.000
5 Zn 0.259 0.259 0.500
6 Zn 0.741 0.741 0.000
7 Zn 0.741 0.741 0.500
8 Zn 0.868 0.132 0.750
9 Pt 0.354 0.646 0.250
10 Pt 0.646 0.354 0.750

(8)
The following is a PBE calculation of a relaxed structure of PrZn4Pt12, from the Alexandria database.

## Properties
The density of states at the Fermi level is 19.28 states/eV per cell. The calculation puts the total DFT energy (no corrections) at -4.7426 eV per atom. The magnetization is 0.001 μB per formula unit.

Unit cell a=7.440 b=7.440 c=7.440 alpha=109.47 beta=109.47 gamma=109.47
Fractional positions:
1 Pr 0.000 0.000 0.000
2 Zn 0.000 0.000 0.500
3 Zn 0.000 0.500 0.000
4 Zn 0.500 0.000 0.000
5 Zn 0.500 0.500 0.500
6 Pt 0.152 0.500 0.348
7 Pt 0.152 0.804 0.652
8 Pt 0.196 0.348 0.848
9 Pt 0.348 0.152 0.500
10 Pt 0.348 0.848 0.196
11 Pt 0.500 0.348 0.152
12 Pt 0.500 0.652 0.848
13 Pt 0.652 0.152 0.804
14 Pt 0.652 0.848 0.500
15 Pt 0.804 0.652 0.152
16 Pt 0.848 0.196 0.348
17 Pt 0.848 0.500 0.652